Compound: LaMn3O
Source: Alexandria via LeMat-Bulk
Functional: PBE with a Hubbard U
Structure: optimized geometry

Properties
- Calculated density: 5.44 g cm⁻³
- Calculated volume: 19.5 A^3/atom
- E: -6.432 eV/atom
- Polymorph energy (0 for the lowest one): 0 meV/atom
- Symmetry: Pm-3m

Cell: 4.6028 4.6028 4.6028 Å, 90.00 90.00 90.00°
Atoms (fractional coordinates):
Mn 0.5000 0.0000 0.0000
O 0.0000 0.0000 0.0000
La 0.5000 0.5000 0.5000
Mn 0.0000 0.0000 0.5000
Mn 0.0000 0.5000 0.0000